Compound: Ho4InRh7
Source: Alexandria
Functional: PBE
Structure: optimized geometry

Output
V in Å³ per cell: 237
Total magnetization in μB/cell: 0.00
Crystal system: monoclinic
Fermi-level density of states in states/eV/f.u.: 12.9
Final energy in eV per atom: -6.458

Lattice parameters (Å, degrees): 5.0216 8.9624 6.0420 80.84 65.45 73.73
Fractional coordinates of all 12 atoms:
Ho  0.5949  0.2154  0.5947
Ho  0.4051  0.7846  0.4053
Ho  0.7649  0.6570  0.8133
Ho  0.2351  0.3430  0.1867
In  0.0000  0.0000  0.0000
Rh  0.7947  0.9115  0.4992
Rh  0.2053  0.0885  0.5008
Rh  0.0824  0.6897  0.1456
Rh  0.9176  0.3103  0.8544
Rh  0.3750  0.5098  0.7402
Rh  0.5000  0.0000  0.0000
Rh  0.6250  0.4902  0.2598